Version i
DFT (PBE-GGA) results for crystalline Tb3Nd2Ho at its relaxed geometry.

```
Tb3Nd2Ho
1.0
11.703 -1.756 0.000
11.703 1.756 0.000
-3.255 0.000 9.767
Tb Nd Ho
6 4 2
Direct
0.059 0.059 0.445
0.195 0.195 0.717
0.430 0.430 0.232
0.570 0.570 0.768
0.805 0.805 0.283
0.941 0.941 0.555
0.191 0.191 0.370
0.431 0.431 0.865
0.569 0.569 0.135
0.809 0.809 0.630
0.189 0.189 0.037
0.811 0.811 0.963
```

The crystal system is monoclinic. The density of states at the Fermi level is 9.3 states/eV/f.u. As for the total magnetization: 0.00 μB/atom.

***

Version ii
DFT (PBE-GGA) results for crystalline Tb3Nd2Ho at its relaxed geometry.

```
Tb3Nd2Ho
1.0
6.708 0.000 0.000
0.000 17.662 0.000
0.000 0.000 3.391
Tb Nd Ho
6 4 2
Direct
0.000 0.000 0.000
0.244 0.324 0.000
0.256 0.824 0.500
0.500 0.500 0.500
0.744 0.176 0.500
0.756 0.676 0.000
0.238 0.152 0.500
0.262 0.652 0.000
0.738 0.348 0.000
0.762 0.848 0.500
0.000 0.500 0.000
0.500 0.000 0.500
```

The crystal system is orthorhombic. The density of states at the Fermi level is 9.3 states/eV/f.u. As for the total magnetization: 0.00 μB/atom.

***

The winner here is version i, beating the second structure by 140 meV/atom.

***

Version i
DFT (PBE-GGA) results for crystalline Tb2Nd3Ho6 at its relaxed geometry.

```
Tb2Nd3Ho6
1.0
3.083 -5.354 0.000
3.083 5.354 0.000
-2.097 0.000 11.405
Tb Nd Ho
2 3 6
Direct
0.166 0.834 0.000
0.834 0.166 0.000
0.000 0.000 0.500
0.336 0.664 0.500
0.664 0.336 0.500
0.085 0.418 0.754
0.249 0.249 0.246
0.418 0.085 0.754
0.582 0.915 0.246
0.751 0.751 0.754
0.915 0.582 0.246
```

The crystal system is monoclinic. The density of states at the Fermi level is 18.6 states/eV/f.u. As for the total magnetization: 0.00 μB/atom.

***

Version ii
DFT (PBE-GGA) results for crystalline Tb2Nd3Ho6 at its relaxed geometry.

```
Tb2Nd3Ho6
1.0
-2.378 2.378 16.613
2.378 -2.378 16.613
2.378 2.378 -16.613
Tb Nd Ho
2 3 6
Direct
0.046 0.046 0.000
0.954 0.954 0.000
0.296 0.296 0.000
0.500 0.500 0.000
0.704 0.704 0.000
0.120 0.620 0.500
0.193 0.193 0.000
0.380 0.880 0.500
0.620 0.120 0.500
0.807 0.807 0.000
0.880 0.380 0.500
```

The crystal system is tetragonal. The density of states at the Fermi level is 16.3 states/eV/f.u. As for the total magnetization: 0.00 μB/atom.

***

The winner here is version i, beating the second structure by 70 meV/atom.

***

Version i
DFT (PBE-GGA) results for crystalline Tb8Nd3Ho2 at its relaxed geometry.

```
Tb8Nd3Ho2
1.0
6.204 0.000 0.000
1.026 6.119 0.000
0.000 2.093 11.133
Tb Nd Ho
8 3 2
Direct
0.075 0.038 0.342
0.151 0.577 0.189
0.308 0.654 0.887
0.388 0.192 0.735
0.612 0.808 0.265
0.692 0.346 0.113
0.849 0.423 0.811
0.925 0.962 0.658
0.000 0.500 0.500
0.461 0.731 0.579
0.539 0.269 0.421
0.231 0.115 0.038
0.769 0.885 0.962
```

The crystal system is triclinic. The density of states at the Fermi level is 19.4 states/eV/f.u. As for the total magnetization: 0.00 μB/atom.

***

Version ii
DFT (PBE-GGA) results for crystalline Tb8Nd3Ho2 at its relaxed geometry.

```
Tb8Nd3Ho2
1.0
10.058 -3.862 0.000
10.058 3.862 0.000
-0.002 0.000 5.678
Tb Nd Ho
8 3 2
Direct
0.100 0.682 0.000
0.172 0.172 0.501
0.318 0.900 0.000
0.364 0.364 0.500
0.636 0.636 0.500
0.682 0.100 0.000
0.828 0.828 0.499
0.900 0.318 0.000
0.208 0.792 0.500
0.500 0.500 0.000
0.792 0.208 0.500
0.258 0.258 0.001
0.742 0.742 0.999
```

The crystal system is monoclinic. The density of states at the Fermi level is 21.3 states/eV/f.u. As for the total magnetization: 0.00 μB/atom.

***

The winner here is version i, beating the second structure by 220 meV/atom.

***

Version i
DFT (PBE-GGA) results for crystalline Tb6Nd2Ho3 at its relaxed geometry.

```
Tb6Nd2Ho3
1.0
-2.371 2.371 16.688
2.371 -2.371 16.688
2.371 2.371 -16.688
Tb Nd Ho
6 2 3
Direct
0.122 0.622 0.500
0.197 0.197 0.000
0.378 0.878 0.500
0.622 0.122 0.500
0.803 0.803 0.000
0.878 0.378 0.500
0.046 0.046 0.000
0.954 0.954 0.000
0.299 0.299 0.000
0.500 0.500 0.000
0.701 0.701 0.000
```

The crystal system is tetragonal. The density of states at the Fermi level is 15.7 states/eV/f.u. As for the total magnetization: 0.00 μB/atom.

***

Version ii
DFT (PBE-GGA) results for crystalline Tb6Nd2Ho3 at its relaxed geometry.

```
Tb6Nd2Ho3
1.0
3.063 -5.312 0.000
3.063 5.312 0.000
-2.070 0.000 11.541
Tb Nd Ho
6 2 3
Direct
0.084 0.418 0.753
0.249 0.249 0.247
0.418 0.084 0.753
0.582 0.916 0.247
0.751 0.751 0.753
0.916 0.582 0.247
0.333 0.667 0.500
0.667 0.333 0.500
0.165 0.835 0.000
0.500 0.500 0.000
0.835 0.165 0.000
```

The crystal system is monoclinic. The density of states at the Fermi level is 17.8 states/eV/f.u. As for the total magnetization: 0.00 μB/atom.

***

The winner here is version ii, beating the second structure by 94 meV/atom.

***

Version i
DFT (PBE-GGA) results for crystalline Tb3Nd7Ho at its relaxed geometry.

```
Tb3Nd7Ho
1.0
7.210 0.000 0.000
3.597 9.675 0.000
3.589 4.066 11.329
Tb Nd Ho
6 14 2
Direct
0.000 0.000 0.000
0.000 0.500 0.500
0.328 0.066 0.274
0.331 0.566 0.774
0.669 0.434 0.226
0.672 0.934 0.726
0.084 0.807 0.528
0.087 0.307 0.026
0.156 0.455 0.226
0.164 0.956 0.726
0.286 0.750 0.250
0.419 0.693 0.972
0.420 0.193 0.474
0.580 0.807 0.526
0.581 0.307 0.028
0.714 0.250 0.750
0.836 0.044 0.274
0.844 0.545 0.774
0.913 0.693 0.974
0.916 0.193 0.472
0.500 0.000 0.000
0.500 0.500 0.500
```

The crystal system is triclinic. The density of states at the Fermi level is 16.9 states/eV/f.u. As for the total magnetization: 0.00 μB/atom.

***

Version ii
DFT (PBE-GGA) results for crystalline Tb3Nd7Ho at its relaxed geometry.

```
Tb3Nd7Ho
1.0
6.433 -5.693 0.000
6.433 5.693 0.000
-2.732 0.000 5.263
Tb Nd Ho
3 7 1
Direct
0.000 0.000 0.000
0.205 0.795 0.500
0.795 0.205 0.500
0.016 0.597 0.807
0.210 0.210 0.708
0.403 0.984 0.193
0.500 0.500 0.500
0.597 0.016 0.807
0.790 0.790 0.292
0.984 0.403 0.193
0.500 0.500 0.000
```

The crystal system is monoclinic. The density of states at the Fermi level is 15.2 states/eV/f.u. As for the total magnetization: 0.00 μB/atom.

***

The winner here is version i, beating the second structure by 46 meV/atom.

***

Version i
DFT (PBE-GGA) results for crystalline Tb4Nd6Ho at its relaxed geometry.

```
Tb4Nd6Ho
1.0
-3.384 3.384 8.390
3.384 -3.384 8.390
3.384 3.384 -8.390
Tb Nd Ho
4 6 1
Direct
0.204 0.204 0.647
0.443 0.796 0.000
0.557 0.557 0.353
0.796 0.443 0.000
0.000 0.500 0.500
0.013 0.632 0.000
0.368 0.368 0.381
0.500 0.000 0.500
0.632 0.013 0.000
0.987 0.987 0.619
0.000 0.000 0.000
```

The crystal system is tetragonal. The density of states at the Fermi level is 16.6 states/eV/f.u. As for the total magnetization: 0.00 μB/atom.

***

Version ii
DFT (PBE-GGA) results for crystalline Tb4Nd6Ho at its relaxed geometry.

```
Tb4Nd6Ho
1.0
-3.303 3.303 8.776
3.303 -3.303 8.776
3.303 3.303 -8.776
Tb Nd Ho
4 6 1
Direct
0.139 0.139 0.628
0.489 0.861 0.000
0.511 0.511 0.372
0.861 0.489 0.000
0.000 0.500 0.500
0.044 0.686 0.000
0.314 0.314 0.358
0.500 0.000 0.500
0.686 0.044 0.000
0.956 0.956 0.642
0.500 0.500 0.000
```

The crystal system is tetragonal. The density of states at the Fermi level is 17.4 states/eV/f.u. As for the total magnetization: 0.00 μB/atom.

***

The winner here is version ii, beating the second structure by 11 meV/atom.